VASP calculation (PBE-GGA) on an optimized crystal structure of LaDyEr2S6.

Cell and atoms, written as CIF:
```
data_LaDyEr2S6
_chemical_formula_sum 'La3 Dy3 Er6 S18'
_space_group_name_H-M_alt 'R 3'
_space_group_IT_number 146
_space_group_name_Hall 'R 3'
_cell_length_a 6.9907
_cell_length_b 6.9907
_cell_length_c 18.4555
_cell_angle_alpha 90.00
_cell_angle_beta 90.00
_cell_angle_gamma 120.00
loop_
_atom_site_label
_atom_site_fract_x
_atom_site_fract_y
_atom_site_fract_z
_atom_site_occupancy
La1 0.0000 0.0000 0.0000 1
Dy1 0.0000 0.0000 0.4912 1
Er1 0.0000 0.0000 0.2883 1
Er2 0.0000 0.0000 0.7929 1
S1 0.0082 0.3082 0.8880 1
S2 0.0262 0.6341 0.0551 1
```

Calculated values
N(E_F) = 0.00 states/eV per cell
ρ = 5.28 g/cm³
total energy = -6.42 eV per atom
calculated volume = 260.4 Å³/f.u.

---

VASP calculation (PBE-GGA) on an optimized crystal structure of Tl3In.

Cell and atoms, written as CIF:
```
data_Tl3In
_chemical_formula_sum 'Tl9 In3'
_space_group_name_H-M_alt 'R -3 m'
_space_group_IT_number 166
_space_group_name_Hall '-R 3 2"'
_cell_length_a 10.8638
_cell_length_b 10.8638
_cell_length_c 3.5074
_cell_angle_alpha 90.00
_cell_angle_beta 90.00
_cell_angle_gamma 120.00
loop_
_atom_site_label
_atom_site_fract_x
_atom_site_fract_y
_atom_site_fract_z
_atom_site_occupancy
Tl1 0.0000 0.5000 0.0000 1
In1 0.0000 0.0000 0.0000 1
```

Calculated values
N(E_F) = 5.39 states/eV per cell
ρ = 10.12 g/cm³
total energy = -2.44 eV per atom
calculated volume = 119.5 Å³/f.u.
ΔE_f = 0.02 eV per atom

---

VASP calculation (PBE-GGA) on an optimized crystal structure of Sc3TiCo2.

Cell and atoms, written as CIF:
```
data_Sc3TiCo2
_chemical_formula_sum 'Sc12 Ti4 Co8'
_space_group_name_H-M_alt 'C m c m'
_space_group_IT_number 63
_space_group_name_Hall '-C 2c 2'
_cell_length_a 8.504
_cell_length_b 8.990
_cell_length_c 5.534
_cell_angle_alpha 90.00
_cell_angle_beta 90.00
_cell_angle_gamma 90.00
loop_
_atom_site_label
_atom_site_fract_x
_atom_site_fract_y
_atom_site_fract_z
_atom_site_occupancy
Sc1 0.000 0.082 0.250 1
Sc2 0.178 0.246 0.750 1
Ti1 0.000 0.439 0.250 1
Co1 0.234 0.500 0.000 1
```

Calculated values
N(E_F) = 33.98 states/eV per cell
ρ = 4.72 g/cm³
total energy = -7.09 eV per atom
distance to the lowest polymorph of the same formula = 0.000 eV per atom
calculated volume = 105.8 Å³/f.u.
ΔE_f = -0.24 eV per atom

---

VASP calculation (PBE-GGA) on an optimized crystal structure of K2BiPb2.

Cell and atoms, written as CIF:
```
data_K2BiPb2
_chemical_formula_sum 'K4 Bi2 Pb4'
_space_group_name_H-M_alt 'P 4/m b m'
_space_group_IT_number 127
_space_group_name_Hall '-P 4 2ab'
_cell_length_a 10.666
_cell_length_b 10.666
_cell_length_c 3.412
_cell_angle_alpha 90.00
_cell_angle_beta 90.00
_cell_angle_gamma 90.00
loop_
_atom_site_label
_atom_site_fract_x
_atom_site_fract_y
_atom_site_fract_z
_atom_site_occupancy
K1 0.200 0.300 0.000 1
Bi1 0.000 0.000 0.000 1
Pb1 0.099 0.599 0.500 1
```

Calculated values
N(E_F) = 7.29 states/eV per cell
ρ = 6.00 g/cm³
total energy = -2.62 eV per atom
distance to the lowest polymorph of the same formula = 0.279 eV per atom
calculated volume = 194.1 Å³/f.u.
ΔE_f = 0.08 eV per atom

---

VASP calculation (PBE-GGA) on an optimized crystal structure of PaIn2Si.

Cell and atoms, written as CIF:
```
data_PaIn2Si
_chemical_formula_sum 'Pa1 In2 Si1'
_space_group_name_H-M_alt 'P 4/m m m'
_space_group_IT_number 123
_space_group_name_Hall '-P 4 2'
_cell_length_a 4.292
_cell_length_b 4.292
_cell_length_c 4.872
_cell_angle_alpha 90.00
_cell_angle_beta 90.00
_cell_angle_gamma 90.00
loop_
_atom_site_label
_atom_site_fract_x
_atom_site_fract_y
_atom_site_fract_z
_atom_site_occupancy
Pa1 0.000 0.000 0.000 1
In1 0.000 0.500 0.500 1
Si1 0.500 0.500 0.000 1
```

Calculated values
N(E_F) = 4.28 states/eV per cell
ρ = 9.04 g/cm³
total energy = -5.27 eV per atom
calculated volume = 89.8 Å³/f.u.

---

VASP calculation (PBE-GGA) on an optimized crystal structure of SiNiAg2.

Cell and atoms, written as CIF:
```
data_SiNiAg2
_chemical_formula_sum 'Si1 Ni1 Ag2'
_space_group_name_H-M_alt 'P 4 m m'
_space_group_IT_number 99
_cell_length_a 2.963
_cell_length_b 2.963
_cell_length_c 6.859
_cell_angle_alpha 90.00
_cell_angle_beta 90.00
_cell_angle_gamma 90.00
loop_
_space_group_symop_operation_xyz
'x,y,z'
'-y,x,z'
'-x,-y,z'
'y,-x,z'
'-x,y,z'
'y,x,z'
'x,-y,z'
'-y,-x,z'
loop_
_atom_site_label
_atom_site_fract_x
_atom_site_fract_y
_atom_site_fract_z
_atom_site_occupancy
Si1 0.000 0.000 0.000 1
Ni1 0.500 0.500 0.856 1
Ag1 0.000 0.000 0.581 1
Ag2 0.500 0.500 0.278 1
```

Calculated values
N(E_F) = 1.50 states/eV per cell
ρ = 8.34 g/cm³
total energy = -4.26 eV per atom
calculated volume = 60.2 Å³/f.u.

---

VASP calculation (PBE-GGA) on an optimized crystal structure of MgCd2AgAu.

Cell and atoms, written as CIF:
```
data_MgCd2AgAu
_chemical_formula_sum 'Mg4 Cd8 Ag4 Au4'
_space_group_name_H-M_alt 'C m c m'
_space_group_IT_number 63
_space_group_name_Hall '-C 2c 2'
_cell_length_a 5.608
_cell_length_b 13.932
_cell_length_c 5.608
_cell_angle_alpha 90.00
_cell_angle_beta 90.00
_cell_angle_gamma 90.00
loop_
_atom_site_label
_atom_site_fract_x
_atom_site_fract_y
_atom_site_fract_z
_atom_site_occupancy
Mg1 0.000 0.249 0.250 1
Cd1 0.250 0.000 0.000 1
Ag1 0.000 0.348 0.750 1
Au1 0.000 0.156 0.750 1
```

Calculated values
N(E_F) = 9.35 states/eV per cell
ρ = 8.40 g/cm³
total energy = -1.98 eV per atom
calculated volume = 109.5 Å³/f.u.
ΔE_f = -0.07 eV per atom

---

VASP calculation (PBE-GGA) on an optimized crystal structure of Tb6NdTl.

Cell and atoms, written as CIF:
```
data_Tb6NdTl
_chemical_formula_sum 'Tb6 Nd1 Tl1'
_space_group_name_H-M_alt 'P 4/m m m'
_space_group_IT_number 123
_space_group_name_Hall '-P 4 2'
_cell_length_a 4.929
_cell_length_b 4.929
_cell_length_c 10.163
_cell_angle_alpha 90.00
_cell_angle_beta 90.00
_cell_angle_gamma 90.00
loop_
_atom_site_label
_atom_site_fract_x
_atom_site_fract_y
_atom_site_fract_z
_atom_site_occupancy
Tb1 0.000 0.000 0.000 1
Tb2 0.000 0.000 0.500 1
Tb3 0.000 0.500 0.243 1
Nd1 0.500 0.500 0.500 1
Tl1 0.500 0.500 0.000 1
```

Calculated values
N(E_F) = 9.12 states/eV per cell
ρ = 8.76 g/cm³
total energy = -4.44 eV per atom
calculated volume = 246.9 Å³/f.u.
ΔE_f = -0.07 eV per atom

---

VASP calculation (PBE-GGA) on an optimized crystal structure of Sc3AlAs.

Cell and atoms, written as CIF:
```
data_Sc3AlAs
_chemical_formula_sum 'Sc3 Al1 As1'
_space_group_name_H-M_alt 'P m -3 m'
_space_group_IT_number 221
_space_group_name_Hall '-P 4 2 3'
_cell_length_a 4.979
_cell_length_b 4.979
_cell_length_c 4.979
_cell_angle_alpha 90.00
_cell_angle_beta 90.00
_cell_angle_gamma 90.00
loop_
_atom_site_label
_atom_site_fract_x
_atom_site_fract_y
_atom_site_fract_z
_atom_site_occupancy
Sc1 0.000 0.000 0.500 1
Al1 0.500 0.500 0.500 1
As1 0.000 0.000 0.000 1
```

Calculated values
N(E_F) = 2.89 states/eV per cell
ρ = 3.19 g/cm³
total energy = -5.87 eV per atom
distance to the lowest polymorph of the same formula = 0.000 eV per atom
calculated volume = 123.4 Å³/f.u.
ΔE_f = -0.39 eV per atom

---

VASP calculation (PBE-GGA) on an optimized crystal structure of Er2NpS4.

Cell and atoms, written as CIF:
```
data_Er2NpS4
_chemical_formula_sum 'Er8 Np4 S16'
_space_group_name_H-M_alt 'I 21 21 21'
_space_group_IT_number 24
_cell_length_a 8.473
_cell_length_b 8.736
_cell_length_c 8.742
_cell_angle_alpha 90.00
_cell_angle_beta 90.00
_cell_angle_gamma 90.00
loop_
_space_group_symop_operation_xyz
'x,y,z'
'-x,-y+1/2,z'
'x,-y,-z+1/2'
'-x,y+1/2,-z+1/2'
'x+1/2,y+1/2,z+1/2'
'-x+1/2,-y,z+1/2'
'x+1/2,-y+1/2,-z'
'-x+1/2,y,-z'
loop_
_atom_site_label
_atom_site_fract_x
_atom_site_fract_y
_atom_site_fract_z
_atom_site_occupancy
Er1 0.000 0.250 0.250 1
Er2 0.250 0.001 0.500 1
Np1 0.124 0.500 0.750 1
S1 0.059 0.499 0.437 1
S2 0.191 0.187 0.750 1
```

Calculated values
N(E_F) = 52.52 states/eV per cell
ρ = 7.18 g/cm³
total energy = -7.23 eV per atom
distance to the lowest polymorph of the same formula = 0.000 eV per atom
calculated volume = 161.8 Å³/f.u.

---

VASP calculation (PBE-GGA) on an optimized crystal structure of PaCuAs.

Cell and atoms, written as CIF:
```
data_PaCuAs
_chemical_formula_sum 'Pa1 Cu1 As1'
_space_group_name_H-M_alt 'P 3 m 1'
_space_group_IT_number 156
_cell_length_a 4.0730
_cell_length_b 4.0730
_cell_length_c 4.0135
_cell_angle_alpha 90.00
_cell_angle_beta 90.00
_cell_angle_gamma 120.00
loop_
_space_group_symop_operation_xyz
'x,y,z'
'-y,x-y,z'
'-x+y,-x,z'
'-y,-x,z'
'-x+y,y,z'
'x,x-y,z'
loop_
_atom_site_label
_atom_site_fract_x
_atom_site_fract_y
_atom_site_fract_z
_atom_site_occupancy
Pa1 0.0000 0.0000 0.0000 1
Cu1 0.6667 0.3333 0.5060 1
As1 0.3333 0.6667 0.4986 1
```

Calculated values
N(E_F) = 4.00 states/eV per cell
ρ = 10.64 g/cm³
total energy = -6.59 eV per atom
calculated volume = 57.7 Å³/f.u.
ΔE_f = -0.51 eV per atom

---

VASP calculation (PBE-GGA) on an optimized crystal structure of ZrTe2H.

Cell and atoms, written as CIF:
```
data_ZrTe2H
_chemical_formula_sum 'Zr4 Te8 H4'
_space_group_name_H-M_alt 'I -4 2 d'
_space_group_IT_number 122
_space_group_name_Hall 'I -4 2bw'
_cell_length_a 6.870
_cell_length_b 6.870
_cell_length_c 7.030
_cell_angle_alpha 90.00
_cell_angle_beta 90.00
_cell_angle_gamma 90.00
loop_
_atom_site_label
_atom_site_fract_x
_atom_site_fract_y
_atom_site_fract_z
_atom_site_occupancy
Zr1 0.000 0.000 0.000 1
Te1 0.182 0.250 0.625 1
H1 0.000 0.000 0.500 1
```

Calculated values
N(E_F) = 12.45 states/eV per cell
ρ = 6.96 g/cm³
total energy = -4.53 eV per atom
distance to the lowest polymorph of the same formula = 0.661 eV per atom
calculated volume = 83.0 Å³/f.u.

---

VASP calculation (PBE-GGA) on an optimized crystal structure of CoReN2.

Cell and atoms, written as CIF:
```
data_CoReN2
_chemical_formula_sum 'Co3 Re3 N6'
_space_group_name_H-M_alt 'R -3 m'
_space_group_IT_number 166
_space_group_name_Hall '-R 3 2"'
_cell_length_a 2.8037
_cell_length_b 2.8037
_cell_length_c 18.8050
_cell_angle_alpha 90.00
_cell_angle_beta 90.00
_cell_angle_gamma 120.00
loop_
_atom_site_label
_atom_site_fract_x
_atom_site_fract_y
_atom_site_fract_z
_atom_site_occupancy
Co1 0.0000 0.0000 0.0000 1
Re1 0.0000 0.0000 0.5000 1
N1 0.0000 0.0000 0.0967 1
```

Calculated values
N(E_F) = 6.58 states/eV per cell
ρ = 10.63 g/cm³
total energy = -8.76 eV per atom
distance to the lowest polymorph of the same formula = 0.135 eV per atom
calculated volume = 42.7 Å³/f.u.